Entry 1:
The following is a PBE calculation of a relaxed Sr2HoThBi4 crystal, from Alexandria via LeMat-Bulk.

Properties
- size of the total moment (μB per cell) = 0.00
- volume (Å³ per cell) = 292.41
- space-group type = P2/m (10)
- Fermi-level density of states (states/eV/cell) = 5.21
- ΔE_f (meV per atom) = -769

Cell lengths 4.6570, 8.0070, 8.2950 Å; angles 109.03, 90.00, 90.00 degrees
Positions (direct):
Bi (0.5000, 0.2377, 0.2269)
Bi (0.5000, 0.7623, 0.7731)
Bi (0.0000, 0.2520, 0.7695)
Bi (0.0000, 0.7480, 0.2305)
Ho (0.0000, 0.0000, 0.0000)
Sr (0.0000, 0.5000, 0.5000)
Sr (0.5000, 0.0000, 0.5000)
Th (0.5000, 0.5000, 0.0000)



Entry 2:
The following is a PBE calculation of a relaxed Ba2Sn3Pt4Rh crystal, from Alexandria via LeMat-Bulk.

Properties
- size of the total moment (μB per cell) = 0.02
- volume (Å³ per cell) = 239.02
- space-group type = P-4m2 (115)
- Fermi-level density of states (states/eV/cell) = 7.81
- ΔE_f (meV per atom) = -618

Cell lengths 4.7140, 4.7140, 10.7561 Å; angles 90.00, 90.00, 90.00 degrees
Positions (direct):
Sn (0.5000, 0.0000, 0.8767)
Sn (0.0000, 0.5000, 0.1233)
Sn (0.0000, 0.0000, 0.5000)
Pt (0.0000, 0.0000, 0.0000)
Pt (0.0000, 0.5000, 0.3748)
Pt (0.5000, 0.5000, 0.0000)
Pt (0.5000, 0.0000, 0.6252)
Rh (0.5000, 0.5000, 0.5000)
Ba (0.0000, 0.5000, 0.7456)
Ba (0.5000, 0.0000, 0.2544)



Entry 3:
The following is a PBE calculation of a relaxed Pr6SmDy3 crystal, from Alexandria via LeMat-Bulk.

Properties
- size of the total moment (μB per cell) = 0.00
- volume (Å³ per cell) = 693.57
- space-group type = Cmc2_1 (36)
- Fermi-level density of states (states/eV/cell) = 27.65
- E above lowest polymorph (eV per atom) = 0.014
- ΔE_f (meV per atom) = 138

Cell lengths 6.4477, 11.1856, 11.1856 Å; angles 120.71, 90.00, 90.00 degrees
Positions (direct):
Dy (0.4622, 0.9433, 0.7105)
Dy (0.9622, 0.0567, 0.2895)
Dy (0.4622, 0.2895, 0.0567)
Dy (0.5882, 0.6164, 0.3836)
Dy (0.9622, 0.7105, 0.9433)
Dy (0.0882, 0.3836, 0.6164)
Pr (0.0510, 0.3706, 0.2908)
Pr (0.8689, 0.0351, 0.9649)
Pr (0.0510, 0.7092, 0.6294)
Pr (0.3702, 0.0585, 0.4756)
Pr (0.5510, 0.6294, 0.7092)
Pr (0.3702, 0.5244, 0.9415)
Pr (0.5510, 0.2908, 0.3706)
Pr (0.1513, 0.7187, 0.2813)
Pr (0.6513, 0.2813, 0.7187)
Pr (0.3689, 0.9649, 0.0351)
Pr (0.8702, 0.9415, 0.5244)
Pr (0.8702, 0.4756, 0.0585)
Sm (0.6101, 0.8065, 0.1935)
Sm (0.1101, 0.1935, 0.8065)